Er3Ge2OsC | PBE | optimized geometry

Cell lengths 3.948, 4.668, 15.322 Å; angles 90.00, 90.00, 90.00 degrees
Space group Immm (No. 71)
One atom of each set of equivalent atoms:
Er 0.000 0.000 0.000
Er 0.000 0.500 0.164
Ge 0.000 0.500 0.354
Os 0.000 0.000 0.500
C 0.000 0.500 0.000

Summary:
Energy relative to the elements, meV per atom: -513



UGaAs2 | PBE | optimized geometry

Cell lengths 3.2276, 3.2276, 28.3786 Å; angles 90.00, 90.00, 120.00 degrees
Space group R-3m (No. 166, hexagonal axes)
One atom of each set of equivalent atoms:
U 0.0000 0.0000 0.0000
Ga 0.0000 0.0000 0.5000
As 0.0000 0.0000 0.1020

Summary:
Energy relative to the elements, meV per atom: 331
Offset from the most stable computed form, meV/atom: 827



K2TlSe2 | PBE | optimized geometry

Cell lengths 9.824, 8.888, 8.342 Å; angles 90.00, 99.64, 90.00 degrees
Space group P2_1/c (No. 14)
One atom of each set of equivalent atoms:
K 0.075 0.226 0.025
K 0.315 0.657 0.938
Tl 0.376 0.084 0.851
Se 0.124 0.550 0.246
Se 0.421 0.130 0.220

Summary:
Energy relative to the elements, uncorrected, meV/atom: -829
Offset from the most stable computed form, meV/atom: 0



Ba2BP | PBE | optimized geometry

Cell lengths 7.740, 7.740, 7.740 Å; angles 90.00, 90.00, 90.00 degrees
Space group Fm-3m (No. 225)
One atom of each set of equivalent atoms:
Ba 0.250 0.250 0.250
B 0.000 0.000 0.000
P 0.000 0.000 0.500

Summary:
Energy relative to the elements, meV per atom: 225
Offset from the most stable computed form, meV/atom: 0



La2DyBr | PBE | optimized geometry

Cell lengths 3.7496, 3.7496, 32.4170 Å; angles 90.00, 90.00, 120.00 degrees
Space group R-3m (No. 166, hexagonal axes)
One atom of each set of equivalent atoms:
La 0.0000 0.0000 0.2429
Dy 0.0000 0.0000 0.0000
Br 0.0000 0.0000 0.5000

Summary:
Energy relative to the elements, uncorrected, meV/atom: -568
Offset from the most stable computed form, meV/atom: 0



MnCdFe2 | PBE | optimized geometry

Cell lengths 9.068, 2.784, 4.694 Å; angles 90.00, 101.05, 90.00 degrees
Space group C2/m (No. 12)
One atom of each set of equivalent atoms:
Mn 0.000 0.000 0.000
Cd 0.000 0.500 0.500
Fe 0.247 0.500 0.227

Summary:
Energy relative to the elements, meV per atom: 370



CsCa2Ga2 | PBE | optimized geometry

Cell lengths 9.332, 9.332, 3.594 Å; angles 90.00, 90.00, 90.00 degrees
Space group P4/mbm (No. 127)
One atom of each set of equivalent atoms:
Cs 0.000 0.000 0.000
Ca 0.139 0.361 0.000
Ga 0.151 0.651 0.500

Summary:
Energy relative to the elements, meV per atom: -108
Offset from the most stable computed form, meV/atom: 17



Ac8CeTl6 | PBE | optimized geometry

Cell lengths 9.8385, 9.8385, 21.1183 Å; angles 90.00, 90.00, 120.00 degrees
Space group R-3 (No. 148, hexagonal axes)
One atom of each set of equivalent atoms:
Ac 0.0000 0.0000 0.1659
Ac 0.0002 0.3346 0.3875
Ce 0.0000 0.0000 0.5000
Tl 0.0006 0.6759 0.4436

Summary:
Energy relative to the elements, meV per atom: -147



BaCdMo | PBE | optimized geometry

Cell lengths 5.3728, 5.3728, 3.0831 Å; angles 90.00, 90.00, 120.00 degrees
Space group P-6m2 (No. 187)
One atom of each set of equivalent atoms:
Ba 0.0000 0.0000 0.0000
Cd 0.6667 0.3333 0.5000
Mo 0.3333 0.6667 0.5000

Summary:
Energy relative to the elements, meV per atom: 935
Offset from the most stable computed form, meV/atom: 134



ScBeCuHg | PBE | optimized geometry

Cell lengths 6.286, 6.286, 6.286 Å; angles 90.00, 90.00, 90.00 degrees
Space group F-43m (No. 216)
One atom of each set of equivalent atoms:
Sc 0.000 0.000 0.000
Be 0.250 0.250 0.250
Cu 0.250 0.250 0.750
Hg 0.000 0.000 0.500

Summary:
Energy relative to the elements, meV per atom: -79



Zr3TeC | PBE | optimized geometry

Cell lengths 3.542, 15.032, 7.267 Å; angles 90.00, 90.00, 90.00 degrees
Space group Cmc2_1 (No. 36)
One atom of each set of equivalent atoms:
Zr 0.000 0.039 0.000
Zr 0.000 0.253 0.487
Zr 0.000 0.389 0.794
Te 0.000 0.407 0.194
C 0.000 0.180 0.149

Summary:
Energy relative to the elements, uncorrected, meV/atom: -451
Offset from the most stable computed form, meV/atom: 328



HoZrMn | PBE | optimized geometry

Cell lengths 3.149, 4.236, 5.230 Å; angles 90.00, 90.00, 90.00 degrees
Space group Pmmm (No. 47)
One atom of each set of equivalent atoms:
Ho 0.000 0.000 0.000
Zr 0.000 0.500 0.500
Mn 0.500 0.000 0.500

Summary:
Energy relative to the elements, meV per atom: 327
Offset from the most stable computed form, meV/atom: 192



no.,E (eV/atom),total magnetic moment (μB per atom)
1,-6.710,0.00
2,-5.573,0.64
3,-3.135,0.00
4,-3.758,0.48
5,-4.600,0.00
6,-6.382,2.13
7,-2.290,0.00
8,-3.680,0.10
9,-3.621,0.00
10,-3.693,0.00
11,-8.053,0.00
12,-7.104,0.47